1.
# Bi2BAs (PBE, relaxed)
data_Bi2BAs
_cell_length_a 5.0173
_cell_length_b 5.0173
_cell_length_c 5.0173
_cell_angle_alpha 60.00
_cell_angle_beta 60.00
_cell_angle_gamma 60.00
_symmetry_space_group_name_H-M 'P 1'
_symmetry_Int_Tables_number 1
loop_
_symmetry_equiv_pos_as_xyz
'x,y,z'
loop_
_atom_site_label
_atom_site_type_symbol
_atom_site_fract_x
_atom_site_fract_y
_atom_site_fract_z
As1 As 0.5000 0.5000 0.5000
B1 B 0.0000 0.0000 0.0000
Bi1 Bi 0.2500 0.2500 0.2500
Bi2 Bi 0.7500 0.7500 0.7500
# energy relative to the lowest polymorph listed for this composition	128	kJ/mol of formula units
# volume	22.3	A^3/atom
# VASP energy	-0.1388	Ha/atom

2.
# BiBAs3 (PBE, relaxed)
data_BiBAs3
_cell_length_a 5.4707
_cell_length_b 5.4707
_cell_length_c 5.4707
_cell_angle_alpha 90.00
_cell_angle_beta 90.00
_cell_angle_gamma 90.00
_symmetry_space_group_name_H-M 'P 1'
_symmetry_Int_Tables_number 1
loop_
_symmetry_equiv_pos_as_xyz
'x,y,z'
loop_
_atom_site_label
_atom_site_type_symbol
_atom_site_fract_x
_atom_site_fract_y
_atom_site_fract_z
As1 As 0.0000 0.5000 0.0000
As2 As 0.0000 0.0000 0.5000
As3 As 0.5000 0.0000 0.0000
B1 B 0.5000 0.5000 0.5000
Bi1 Bi 0.0000 0.0000 0.0000
# energy relative to the lowest polymorph listed for this composition	647	kJ/mol of formula units
# volume	32.7	A^3/atom
# VASP energy	-0.1066	Ha/atom

3.
# BiB3As (PBE, relaxed)
data_BiB3As
_cell_length_a 4.6676
_cell_length_b 4.6676
_cell_length_c 4.6676
_cell_angle_alpha 90.00
_cell_angle_beta 90.00
_cell_angle_gamma 90.00
_symmetry_space_group_name_H-M 'P 1'
_symmetry_Int_Tables_number 1
loop_
_symmetry_equiv_pos_as_xyz
'x,y,z'
loop_
_atom_site_label
_atom_site_type_symbol
_atom_site_fract_x
_atom_site_fract_y
_atom_site_fract_z
As1 As 0.5000 0.5000 0.5000
B1 B 0.0000 0.5000 0.0000
B2 B 0.0000 0.0000 0.5000
B3 B 0.5000 0.0000 0.0000
Bi1 Bi 0.0000 0.0000 0.0000
# energy relative to the lowest polymorph listed for this composition	421	kJ/mol of formula units
# volume	20.3	A^3/atom
# VASP energy	-0.1177	Ha/atom

4.
# BiBAs2Br (PBE, relaxed)
data_BiBAs2Br
_cell_length_a 5.5297
_cell_length_b 5.5297
_cell_length_c 5.7727
_cell_angle_alpha 90.00
_cell_angle_beta 90.00
_cell_angle_gamma 90.00
_symmetry_space_group_name_H-M 'P 1'
_symmetry_Int_Tables_number 1
loop_
_symmetry_equiv_pos_as_xyz
'x,y,z'
loop_
_atom_site_label
_atom_site_type_symbol
_atom_site_fract_x
_atom_site_fract_y
_atom_site_fract_z
As1 As 0.0000 0.5000 0.0000
As2 As 0.5000 0.0000 0.0000
B1 B 0.5000 0.5000 0.5000
Bi1 Bi 0.0000 0.0000 0.0000
Br1 Br 0.0000 0.0000 0.5000
# energy relative to the lowest polymorph listed for this composition	441	kJ/mol of formula units
# raw formation energy	1.598	eV per atom
# volume	35.3	A^3/atom
# VASP energy	-0.0995	Ha/atom

5.
# BiBAs2Br (PBE, relaxed)
data_BiBAs2Br
_cell_length_a 4.6785
_cell_length_b 4.6785
_cell_length_c 4.6084
_cell_angle_alpha 90.00
_cell_angle_beta 90.00
_cell_angle_gamma 90.00
_symmetry_space_group_name_H-M 'P 1'
_symmetry_Int_Tables_number 1
loop_
_symmetry_equiv_pos_as_xyz
'x,y,z'
loop_
_atom_site_label
_atom_site_type_symbol
_atom_site_fract_x
_atom_site_fract_y
_atom_site_fract_z
As1 As 0.0000 0.5000 0.0000
As2 As 0.5000 0.0000 0.0000
B1 B 0.0000 0.0000 0.0000
Bi1 Bi 0.5000 0.5000 0.5000
Br1 Br 0.0000 0.0000 0.5000
# energy relative to the lowest polymorph listed for this composition	0	kJ/mol of formula units
# raw formation energy	0.683	eV per atom
# volume	20.2	A^3/atom
# VASP energy	-0.1331	Ha/atom

6.
# BiBAsBr2 (PBE, relaxed)
data_BiBAsBr2
_cell_length_a 4.6291
_cell_length_b 4.6291
_cell_length_c 5.0095
_cell_angle_alpha 90.00
_cell_angle_beta 90.00
_cell_angle_gamma 90.00
_symmetry_space_group_name_H-M 'P 1'
_symmetry_Int_Tables_number 1
loop_
_symmetry_equiv_pos_as_xyz
'x,y,z'
loop_
_atom_site_label
_atom_site_type_symbol
_atom_site_fract_x
_atom_site_fract_y
_atom_site_fract_z
As1 As 0.0000 0.0000 0.5000
B1 B 0.0000 0.0000 0.0000
Bi1 Bi 0.5000 0.5000 0.5000
Br1 Br 0.0000 0.5000 0.0000
Br2 Br 0.5000 0.0000 0.0000
# energy relative to the lowest polymorph listed for this composition	0	kJ/mol of formula units
# raw formation energy	0.588	eV per atom
# volume	21.5	A^3/atom
# VASP energy	-0.1148	Ha/atom

7.
# BiBAsBr2 (PBE, relaxed)
data_BiBAsBr2
_cell_length_a 5.7235
_cell_length_b 5.7235
_cell_length_c 5.6535
_cell_angle_alpha 90.00
_cell_angle_beta 90.00
_cell_angle_gamma 90.00
_symmetry_space_group_name_H-M 'P 1'
_symmetry_Int_Tables_number 1
loop_
_symmetry_equiv_pos_as_xyz
'x,y,z'
loop_
_atom_site_label
_atom_site_type_symbol
_atom_site_fract_x
_atom_site_fract_y
_atom_site_fract_z
As1 As 0.0000 0.0000 0.5000
B1 B 0.5000 0.5000 0.5000
Bi1 Bi 0.0000 0.0000 0.0000
Br1 Br 0.0000 0.5000 0.0000
Br2 Br 0.5000 0.0000 0.0000
# energy relative to the lowest polymorph listed for this composition	267	kJ/mol of formula units
# raw formation energy	1.141	eV per atom
# volume	37.0	A^3/atom
# VASP energy	-0.0944	Ha/atom

8.
# CoBi2BAs (PBE, relaxed)
data_CoBi2BAs
_cell_length_a 5.6229
_cell_length_b 3.8904
_cell_length_c 5.6229
_cell_angle_alpha 90.00
_cell_angle_beta 90.00
_cell_angle_gamma 90.00
_symmetry_space_group_name_H-M 'P 1'
_symmetry_Int_Tables_number 1
loop_
_symmetry_equiv_pos_as_xyz
'x,y,z'
loop_
_atom_site_label
_atom_site_type_symbol
_atom_site_fract_x
_atom_site_fract_y
_atom_site_fract_z
As1 As 0.0000 0.0000 0.0000
B1 B 0.0000 0.5000 0.0000
Co1 Co 0.5000 0.5000 0.5000
Bi1 Bi 0.0000 0.0000 0.5000
Bi2 Bi 0.5000 0.0000 0.0000
# volume	24.6	A^3/atom
# VASP energy	-0.1441	Ha/atom

9.
# Cr2BiBAs (PBE, relaxed)
data_Cr2BiBAs
_cell_length_a 4.4324
_cell_length_b 4.3812
_cell_length_c 4.4324
_cell_angle_alpha 90.00
_cell_angle_beta 90.00
_cell_angle_gamma 90.00
_symmetry_space_group_name_H-M 'P 1'
_symmetry_Int_Tables_number 1
loop_
_symmetry_equiv_pos_as_xyz
'x,y,z'
loop_
_atom_site_label
_atom_site_type_symbol
_atom_site_fract_x
_atom_site_fract_y
_atom_site_fract_z
Cr1 Cr 0.0000 0.0000 0.5000
Cr2 Cr 0.5000 0.0000 0.0000
As1 As 0.0000 0.5000 0.0000
B1 B 0.0000 0.0000 0.0000
Bi1 Bi 0.5000 0.5000 0.5000
# volume	17.2	A^3/atom
# VASP energy	-0.2324	Ha/atom

10.
# Cu2BiBAs (PBE, relaxed)
data_Cu2BiBAs
_cell_length_a 4.1390
_cell_length_b 5.1594
_cell_length_c 4.1390
_cell_angle_alpha 90.00
_cell_angle_beta 90.00
_cell_angle_gamma 90.00
_symmetry_space_group_name_H-M 'P 1'
_symmetry_Int_Tables_number 1
loop_
_symmetry_equiv_pos_as_xyz
'x,y,z'
loop_
_atom_site_label
_atom_site_type_symbol
_atom_site_fract_x
_atom_site_fract_y
_atom_site_fract_z
As1 As 0.5000 0.5000 0.5000
B1 B 0.0000 0.0000 0.0000
Bi1 Bi 0.0000 0.5000 0.0000
Cu1 Cu 0.0000 0.0000 0.5000
Cu2 Cu 0.5000 0.0000 0.0000
# volume	17.7	A^3/atom
# VASP energy	-0.1492	Ha/atom

11.
# HfBiB2As (PBE, relaxed)
data_HfBiB2As
_cell_length_a 4.5111
_cell_length_b 5.7509
_cell_length_c 4.5111
_cell_angle_alpha 90.00
_cell_angle_beta 90.00
_cell_angle_gamma 90.00
_symmetry_space_group_name_H-M 'P 1'
_symmetry_Int_Tables_number 1
loop_
_symmetry_equiv_pos_as_xyz
'x,y,z'
loop_
_atom_site_label
_atom_site_type_symbol
_atom_site_fract_x
_atom_site_fract_y
_atom_site_fract_z
As1 As 0.5000 0.5000 0.5000
B1 B 0.0000 0.0000 0.5000
B2 B 0.5000 0.0000 0.0000
Hf1 Hf 0.0000 0.0000 0.0000
Bi1 Bi 0.0000 0.5000 0.0000
# volume	23.4	A^3/atom
# VASP energy	-0.1804	Ha/atom

12.
# BiBMo2As (PBE, relaxed)
data_BiBMo2As
_cell_length_a 4.5270
_cell_length_b 4.1025
_cell_length_c 4.5270
_cell_angle_alpha 90.00
_cell_angle_beta 90.00
_cell_angle_gamma 90.00
_symmetry_space_group_name_H-M 'P 1'
_symmetry_Int_Tables_number 1
loop_
_symmetry_equiv_pos_as_xyz
'x,y,z'
loop_
_atom_site_label
_atom_site_type_symbol
_atom_site_fract_x
_atom_site_fract_y
_atom_site_fract_z
As1 As 0.0000 0.5000 0.0000
Mo1 Mo 0.0000 0.0000 0.5000
Mo2 Mo 0.5000 0.0000 0.0000
B1 B 0.0000 0.0000 0.0000
Bi1 Bi 0.5000 0.5000 0.5000
# volume	16.8	A^3/atom
# VASP energy	-0.2454	Ha/atom

Q: The lowest volume belongs to which entry?
A: BiBMo2As